# DyErSiHg | Alexandria | PBE | optimized geometry
# Uncorrected formation energy (eV/atom): -0.45
data_DyErSiHg
_chemical_formula_sum 'Dy4 Er4 Si4 Hg4'
_symmetry_space_group_name_H-M 'F -4 3 m'
_symmetry_Int_Tables_number 216
_symmetry_space_group_name_Hall 'F -4 2 3'
_cell_length_a 7.197
_cell_length_b 7.197
_cell_length_c 7.197
_cell_angle_alpha 90.00
_cell_angle_beta 90.00
_cell_angle_gamma 90.00
loop_
_atom_site_label
_atom_site_fract_x
_atom_site_fract_y
_atom_site_fract_z
Dy1 0.000 0.000 0.000
Er1 0.000 0.000 0.500
Si1 0.250 0.250 0.250
Hg1 0.250 0.250 0.750

=====

# TbDyErHg | Alexandria | PBE | optimized geometry
# Calculated formation energy (eV per atom): -0.055
data_TbDyErHg
_chemical_formula_sum 'Tb4 Dy4 Er4 Hg4'
_symmetry_space_group_name_H-M 'F -4 3 m'
_symmetry_Int_Tables_number 216
_symmetry_space_group_name_Hall 'F -4 2 3'
_cell_length_a 7.623
_cell_length_b 7.623
_cell_length_c 7.623
_cell_angle_alpha 90.00
_cell_angle_beta 90.00
_cell_angle_gamma 90.00
loop_
_atom_site_label
_atom_site_fract_x
_atom_site_fract_y
_atom_site_fract_z
Tb1 0.000 0.000 0.000
Dy1 0.000 0.000 0.500
Er1 0.250 0.250 0.750
Hg1 0.250 0.250 0.250

=====

# Dy2ErTl2Hg2 | Alexandria | PBE | optimized geometry
# Calculated formation energy (eV per atom): -0.159
data_Dy2ErTl2Hg2
_chemical_formula_sum 'Dy6 Er3 Tl6 Hg6'
_symmetry_space_group_name_H-M 'R -3 m'
_symmetry_Int_Tables_number 166
_symmetry_space_group_name_Hall '-R 3 2"'
_cell_length_a 4.9889
_cell_length_b 4.9889
_cell_length_c 26.4057
_cell_angle_alpha 90.00
_cell_angle_beta 90.00
_cell_angle_gamma 120.00
loop_
_atom_site_label
_atom_site_fract_x
_atom_site_fract_y
_atom_site_fract_z
Dy1 0.0000 0.0000 0.1322
Er1 0.0000 0.0000 0.0000
Tl1 0.0000 0.0000 0.2747
Hg1 0.0000 0.0000 0.4347

=====

# DyErZnHg | Alexandria | PBE | optimized geometry
# Calculated formation energy (eV per atom): -0.398
# Distance to the lowest polymorph of the same formula (eV/atom): 0.0176
data_DyErZnHg
_chemical_formula_sum 'Dy4 Er4 Zn4 Hg4'
_symmetry_space_group_name_H-M 'F -4 3 m'
_symmetry_Int_Tables_number 216
_symmetry_space_group_name_Hall 'F -4 2 3'
_cell_length_a 7.279
_cell_length_b 7.279
_cell_length_c 7.279
_cell_angle_alpha 90.00
_cell_angle_beta 90.00
_cell_angle_gamma 90.00
loop_
_atom_site_label
_atom_site_fract_x
_atom_site_fract_y
_atom_site_fract_z
Dy1 0.000 0.000 0.000
Er1 0.000 0.000 0.500
Zn1 0.250 0.250 0.750
Hg1 0.250 0.250 0.250

=====

# DyErZnHg | Alexandria | PBE | optimized geometry
# Calculated formation energy (eV per atom): -0.415
# Distance to the lowest polymorph of the same formula (eV/atom): 0.0000
data_DyErZnHg
_chemical_formula_sum 'Dy1 Er1 Zn1 Hg1'
_symmetry_space_group_name_H-M 'P 4 m m'
_symmetry_Int_Tables_number 99
_cell_length_a 3.594
_cell_length_b 3.594
_cell_length_c 7.385
_cell_angle_alpha 90.00
_cell_angle_beta 90.00
_cell_angle_gamma 90.00
loop_
_symmetry_equiv_pos_as_xyz
'x,y,z'
'-y,x,z'
'-x,-y,z'
'y,-x,z'
'-x,y,z'
'y,x,z'
'x,-y,z'
'-y,-x,z'
loop_
_atom_site_label
_atom_site_fract_x
_atom_site_fract_y
_atom_site_fract_z
Dy1 0.000 0.000 0.000
Er1 0.000 0.000 0.533
Zn1 0.500 0.500 0.762
Hg1 0.500 0.500 0.271

=====

# Dy3Ho2Er | Alexandria | PBE | optimized geometry
# Calculated formation energy (eV per atom): 0.020
data_Dy3Ho2Er
_chemical_formula_sum 'Dy12 Ho8 Er4'
_symmetry_space_group_name_H-M 'C 1 2/c 1'
_symmetry_Int_Tables_number 15
_cell_length_a 17.263
_cell_length_b 7.040
_cell_length_c 6.093
_cell_angle_alpha 90.00
_cell_angle_beta 90.00
_cell_angle_gamma 90.00
loop_
_symmetry_equiv_pos_as_xyz
'x,y,z'
'-x,-y,-z'
'-x,y,-z+1/2'
'x,-y,z+1/2'
'x+1/2,y+1/2,z'
'-x+1/2,-y+1/2,-z'
'-x+1/2,y+1/2,-z+1/2'
'x+1/2,-y+1/2,z+1/2'
loop_
_atom_site_label
_atom_site_fract_x
_atom_site_fract_y
_atom_site_fract_z
Dy1 0.000 0.125 0.250
Dy2 0.167 0.375 0.417
Ho1 0.167 0.125 0.917
Er1 0.000 0.375 0.750

=====

# Dy5HoEr7 | Alexandria | PBE | optimized geometry
# Calculated formation energy (eV per atom): 0.264
# Distance to the lowest polymorph of the same formula (eV/atom): 0.0024
data_Dy5HoEr7
_chemical_formula_sum 'Dy10 Ho2 Er14'
_symmetry_space_group_name_H-M 'I m m 2'
_symmetry_Int_Tables_number 44
_cell_length_a 6.616
_cell_length_b 11.020
_cell_length_c 11.414
_cell_angle_alpha 90.00
_cell_angle_beta 90.00
_cell_angle_gamma 90.00
loop_
_symmetry_equiv_pos_as_xyz
'x,y,z'
'-x,-y,z'
'-x,y,z'
'x,-y,z'
'x+1/2,y+1/2,z+1/2'
'-x+1/2,-y+1/2,z+1/2'
'-x+1/2,y+1/2,z+1/2'
'x+1/2,-y+1/2,z+1/2'
loop_
_atom_site_label
_atom_site_fract_x
_atom_site_fract_y
_atom_site_fract_z
Dy1 0.000 0.000 0.000
Dy2 0.232 0.274 0.500
Ho1 0.000 0.500 0.694
Er1 0.000 0.000 0.499
Er2 0.000 0.169 0.749
Er3 0.000 0.170 0.250
Er4 0.000 0.500 0.001
Er5 0.000 0.500 0.307

=====

# DyHo2Er12 | Alexandria | PBE | optimized geometry
# Calculated formation energy (eV per atom): 0.074
data_DyHo2Er12
_chemical_formula_sum 'Dy1 Ho2 Er12'
_symmetry_space_group_name_H-M 'P 1 2/m 1'
_symmetry_Int_Tables_number 10
_cell_length_a 3.580
_cell_length_b 5.593
_cell_length_c 23.185
_cell_angle_alpha 90.00
_cell_angle_beta 94.17
_cell_angle_gamma 90.00
loop_
_symmetry_equiv_pos_as_xyz
'x,y,z'
'-x,-y,-z'
'-x,y,-z'
'x,-y,z'
loop_
_atom_site_label
_atom_site_fract_x
_atom_site_fract_y
_atom_site_fract_z
Dy1 0.000 0.000 0.000
Ho1 0.143 0.000 0.285
Er1 0.096 0.500 0.193
Er2 0.222 0.500 0.443
Er3 0.287 0.000 0.575
Er4 0.339 0.500 0.678
Er5 0.424 0.000 0.853
Er6 0.470 0.500 0.933

=====

# DyHo4Er2 | Alexandria | PBE | optimized geometry
# Calculated formation energy (eV per atom): 0.038
# Distance to the lowest polymorph of the same formula (eV/atom): 0.0000
data_DyHo4Er2
_chemical_formula_sum 'Dy2 Ho8 Er4'
_symmetry_space_group_name_H-M 'C 1 2/m 1'
_symmetry_Int_Tables_number 12
_cell_length_a 16.525
_cell_length_b 3.493
_cell_length_c 8.629
_cell_angle_alpha 90.00
_cell_angle_beta 119.60
_cell_angle_gamma 90.00
loop_
_symmetry_equiv_pos_as_xyz
'x,y,z'
'-x,-y,-z'
'-x,y,-z'
'x,-y,z'
'x+1/2,y+1/2,z'
'-x+1/2,-y+1/2,-z'
'-x+1/2,y+1/2,-z'
'x+1/2,-y+1/2,z'
loop_
_atom_site_label
_atom_site_fract_x
_atom_site_fract_y
_atom_site_fract_z
Dy1 0.000 0.000 0.000
Ho1 0.141 0.500 0.834
Ho2 0.204 0.500 0.294
Er1 0.070 0.000 0.430

=====

# Dy2HoEr3 | Alexandria | PBE | optimized geometry
# Calculated formation energy (eV per atom): 0.343
# Distance to the lowest polymorph of the same formula (eV/atom): 0.3210
data_Dy2HoEr3
_chemical_formula_sum 'Dy8 Ho4 Er12'
_symmetry_space_group_name_H-M 'C m c m'
_symmetry_Int_Tables_number 63
_symmetry_space_group_name_Hall '-C 2c 2'
_cell_length_a 14.726
_cell_length_b 9.831
_cell_length_c 5.536
_cell_angle_alpha 90.00
_cell_angle_beta 90.00
_cell_angle_gamma 90.00
loop_
_atom_site_label
_atom_site_fract_x
_atom_site_fract_y
_atom_site_fract_z
Dy1 0.109 0.101 0.250
Ho1 0.000 0.230 0.750
Er1 0.000 0.411 0.250
Er2 0.241 0.371 0.250

=====

# Dy8HoEr5 | Alexandria | PBE | optimized geometry
# Calculated formation energy (eV per atom): 0.259
data_Dy8HoEr5
_chemical_formula_sum 'Dy16 Ho2 Er10'
_symmetry_space_group_name_H-M 'I -4'
_symmetry_Int_Tables_number 82
_cell_length_a 9.473
_cell_length_b 9.473
_cell_length_c 10.025
_cell_angle_alpha 90.00
_cell_angle_beta 90.00
_cell_angle_gamma 90.00
loop_
_symmetry_equiv_pos_as_xyz
'x,y,z'
'y,-x,-z'
'-x,-y,z'
'-y,x,-z'
'x+1/2,y+1/2,z+1/2'
'y+1/2,-x+1/2,-z+1/2'
'-x+1/2,-y+1/2,z+1/2'
'-y+1/2,x+1/2,-z+1/2'
loop_
_atom_site_label
_atom_site_fract_x
_atom_site_fract_y
_atom_site_fract_z
Dy1 0.070 0.176 0.346
Dy2 0.089 0.326 0.003
Ho1 0.000 0.000 0.000
Er1 0.000 0.500 0.250
Er2 0.111 0.291 0.675

=====

# Dy19Ho6Er4 | Alexandria | PBE | optimized geometry
# Calculated formation energy (eV per atom): 0.389
data_Dy19Ho6Er4
_chemical_formula_sum 'Dy38 Ho12 Er8'
_symmetry_space_group_name_H-M 'I 2 3'
_symmetry_Int_Tables_number 197
_symmetry_space_group_name_Hall 'I 2 2 3'
_cell_length_a 12.363
_cell_length_b 12.363
_cell_length_c 12.363
_cell_angle_alpha 90.00
_cell_angle_beta 90.00
_cell_angle_gamma 90.00
loop_
_atom_site_label
_atom_site_fract_x
_atom_site_fract_y
_atom_site_fract_z
Dy1 0.000 0.000 0.000
Dy2 0.000 0.000 0.261
Dy3 0.063 0.278 0.738
Ho1 0.000 0.127 0.500
Er1 0.179 0.179 0.179

=====

Which formula does entry 7 have?
Dy5HoEr7

=====

Copy entry 7 word for word.
# Dy5HoEr7 | Alexandria | PBE | optimized geometry
# Calculated formation energy (eV per atom): 0.264
# Distance to the lowest polymorph of the same formula (eV/atom): 0.0024
data_Dy5HoEr7
_chemical_formula_sum 'Dy10 Ho2 Er14'
_symmetry_space_group_name_H-M 'I m m 2'
_symmetry_Int_Tables_number 44
_cell_length_a 6.616
_cell_length_b 11.020
_cell_length_c 11.414
_cell_angle_alpha 90.00
_cell_angle_beta 90.00
_cell_angle_gamma 90.00
loop_
_symmetry_equiv_pos_as_xyz
'x,y,z'
'-x,-y,z'
'-x,y,z'
'x,-y,z'
'x+1/2,y+1/2,z+1/2'
'-x+1/2,-y+1/2,z+1/2'
'-x+1/2,y+1/2,z+1/2'
'x+1/2,-y+1/2,z+1/2'
loop_
_atom_site_label
_atom_site_fract_x
_atom_site_fract_y
_atom_site_fract_z
Dy1 0.000 0.000 0.000
Dy2 0.232 0.274 0.500
Ho1 0.000 0.500 0.694
Er1 0.000 0.000 0.499
Er2 0.000 0.169 0.749
Er3 0.000 0.170 0.250
Er4 0.000 0.500 0.001
Er5 0.000 0.500 0.307

=====

What is the formula in the second record?
TbDyErHg